A plane-wave DFT calculation with PBE-GGA was carried out for a relaxed structure of TaBe2Ir.

Computed properties:
- DFT formation energy: -0.20 eV/f.u.

a = 2.8504 Å, b = 4.6411 Å, c = 8.0402 Å
α = 90.00°, β = 90.00°, γ = 90.00°
Last column: nearest neighbours and their distance in Å.
Space group Immm (No. 71)
Inequivalent atoms, fractional coordinates:
Ta  0.0000  0.0000  0.0000  4 Be 2.58, 4 Ir 2.72, 2 Ta 2.85
Be  0.0000  0.5000  0.2324  2 Ir 2.35, 2 Ta 2.58
Ir  0.0000  0.0000  0.5000  4 Be 2.35


A plane-wave DFT calculation with PBE-GGA was carried out for a relaxed structure of CuTc2F11.

Computed properties:
- Energy relative to the elements, uncorrected: -1916 meV per atom

a = 8.0247 Å, b = 10.9150 Å, c = 10.4728 Å
α = 90.00°, β = 90.00°, γ = 90.00°
Last column: nearest neighbours and their distance in Å.
Space group Ibam (No. 72)
Inequivalent atoms, fractional coordinates:
Cu  0.0000  0.0000  0.2500  4 F 1.96
Tc  0.2210  0.4061  0.0000  6 F 1.86-2.05
F  0.0000  0.5000  0.0000  2 Tc 2.05
F  0.0792  0.1805  0.5000  1 Tc 1.86
F  0.1354  0.3159  0.1357  1 Tc 1.86
F  0.1802  0.0209  0.1260  1 Cu 1.96, 1 Tc 1.98


A plane-wave DFT calculation with PBE-GGA was carried out for a relaxed structure of ZrHgSe2.

Computed properties:
- Offset from the most stable computed form: 605.9 meV per atom
- Energy relative to the elements, uncorrected: -385 meV per atom

a = 3.3645 Å, b = 3.3645 Å, c = 8.4769 Å
α = 90.00°, β = 90.00°, γ = 90.00°
Last column: nearest neighbours and their distance in Å.
Space group P4mm (No. 99)
Inequivalent atoms, fractional coordinates:
Zr  0.0000  0.0000  0.0000  4 Se 2.75
Hg  0.5000  0.5000  0.2509  4 Se 2.98, 4 Zr 3.19
Se  0.0000  0.0000  0.4624  4 Hg 2.98
Se  0.5000  0.5000  0.8364  4 Zr 2.75


A plane-wave DFT calculation with PBE-GGA was carried out for a relaxed structure of LaReHg2.

Computed properties:
- Offset from the most stable computed form: 284.8 meV per atom
- DFT formation energy: 2.45 eV/f.u.

a = 7.1968 Å, b = 7.1968 Å, c = 7.1968 Å
α = 90.00°, β = 90.00°, γ = 90.00°
Last column: nearest neighbours and their distance in Å.
Space group F-43m (No. 216)
Inequivalent atoms, fractional coordinates:
La  0.0000  0.0000  0.0000  4 Re 3.12, 4 Hg 3.12
Re  0.2500  0.2500  0.7500  4 Hg 3.12, 4 La 3.12
Hg  0.0000  0.0000  0.5000  4 Hg 3.12, 4 Re 3.12
Hg  0.2500  0.2500  0.2500  4 La 3.12, 4 Hg 3.12


A plane-wave DFT calculation with PBE-GGA was carried out for a relaxed structure of Er2InPd4.

Computed properties:
- Offset from the most stable computed form: 0.0 meV per atom
- DFT formation energy: -5.02 eV/f.u.

a = 7.8256 Å, b = 4.9743 Å, c = 7.5253 Å
α = 90.00°, β = 95.85°, γ = 90.00°
Last column: nearest neighbours and their distance in Å.
Space group C2/m (No. 12)
Inequivalent atoms, fractional coordinates:
Er  0.2096  0.0000  0.2890  6 Pd 2.74-2.99
In  0.0000  0.5000  0.0000  8 Pd 2.72-2.90
Pd  0.0863  0.5000  0.3592  2 Pd 2.63-2.94, 1 In 2.72, 3 Er 2.74-2.94
Pd  0.1473  0.0000  0.8897  3 In 2.80-2.90, 2 Pd 2.94-2.98, 4 Er 2.97-3.09


A plane-wave DFT calculation with PBE-GGA was carried out for a relaxed structure of Pr6P2I3N.

Computed properties:
- Energy relative to the elements, uncorrected: -1289 meV per atom

a = 7.1435 Å, b = 12.3683 Å, c = 8.1305 Å
α = 90.00°, β = 107.00°, γ = 90.00°
Last column: nearest neighbours and their distance in Å.
Space group C2/m (No. 12)
Inequivalent atoms, fractional coordinates:
Pr  0.2139  0.1540  0.1799  1 N 2.61, 2 P 2.84-2.85
Pr  0.2476  0.0000  0.8186  1 N 2.61, 2 P 2.85
P  0.0000  0.3336  0.0000  6 Pr 2.84-2.85
I  0.0000  0.1712  0.5000  6 Pr 3.39-3.54
I  0.0000  0.5000  0.5000  6 Pr 3.39-3.56
N  0.0000  0.0000  0.0000  6 Pr 2.61


A plane-wave DFT calculation with PBE-GGA was carried out for a relaxed structure of Pu2TcGe.

Computed properties:
- Offset from the most stable computed form: 398.8 meV per atom
- DFT formation energy: 0.72 eV/f.u.

a = 3.5689 Å, b = 3.5689 Å, c = 5.1290 Å
α = 90.00°, β = 90.00°, γ = 90.00°
Last column: nearest neighbours and their distance in Å.
Space group P4/mmm (No. 123)
Inequivalent atoms, fractional coordinates:
Pu  0.0000  0.5000  0.0000  4 Pu 2.52
Tc  0.0000  0.0000  0.5000  4 Ge 2.52
Ge  0.5000  0.5000  0.5000  4 Tc 2.52


How do the records compare in final energy? In the order shown, they have -56.7, -288.9, -17.4, -62.1, -75.3, -135.9, -42.9 eV/cell.